1.
Density functional theory data (meta-GGA SCAN) for Li5CoO4 at its PBEsol-relaxed geometry.

```
Li5CoO4
1.0
6.580 0.000 0.000
0.000 7.045 0.000
0.000 0.000 7.851
Li Co O
20 4 16
Direct
0.794 0.500 0.000
0.206 0.500 0.000
0.500 0.715 0.085
0.738 0.972 0.157
0.262 0.972 0.157
0.500 0.239 0.210
0.000 0.739 0.290
0.762 0.472 0.343
0.238 0.472 0.343
0.000 0.215 0.415
0.294 0.000 0.500
0.706 0.000 0.500
0.000 0.785 0.585
0.762 0.528 0.657
0.238 0.528 0.657
0.000 0.261 0.710
0.500 0.761 0.790
0.738 0.028 0.843
0.262 0.028 0.843
0.500 0.285 0.915
0.000 0.223 0.107
0.500 0.723 0.393
0.500 0.277 0.607
0.000 0.777 0.893
0.738 0.215 0.027
0.262 0.215 0.027
0.000 0.472 0.200
0.500 0.514 0.240
0.000 0.014 0.260
0.500 0.972 0.300
0.762 0.715 0.473
0.238 0.715 0.473
0.762 0.285 0.527
0.238 0.285 0.527
0.500 0.028 0.700
0.000 0.986 0.740
0.500 0.486 0.760
0.000 0.528 0.800
0.738 0.785 0.973
0.262 0.785 0.973
```

symmetry	Pnnm, No. 58

---

2.
Density functional theory data (meta-GGA SCAN) for Zr2Cu2Pd at its PBEsol-relaxed geometry.

```
Zr2Cu2Pd
1.0
-0.499 -2.883 1.911
4.206 -3.459 -4.122
5.293 1.711 3.964
Cu Zr Pd
4 4 2
Direct
0.000 0.375 0.875
0.000 0.875 0.625
0.000 0.625 0.125
0.000 0.125 0.375
0.500 0.175 0.675
0.500 0.675 0.825
0.500 0.825 0.325
0.500 0.325 0.175
0.000 0.000 0.000
0.000 0.500 0.500
```

DOS at the Fermi energy	0.83	states/eV per atom
symmetry	P4/mbm, No. 127

---

3.
Density functional theory data (meta-GGA SCAN) for Hg5Pb at its PBEsol-relaxed geometry.

```
Hg5Pb
1.0
3.366 0.000 0.000
0.000 5.339 0.000
-1.683 0.000 8.134
Hg Pb
5 1
Direct
0.993 0.000 0.985
0.330 0.000 0.659
0.667 0.000 0.334
0.444 0.500 0.888
0.786 0.500 0.573
0.113 0.500 0.227
```

DOS at the Fermi energy	0.39	states/eV per atom
symmetry	Amm2, No. 38

---

4.
Density functional theory data (meta-GGA SCAN) for Zn3Fe4 at its PBEsol-relaxed geometry.

```
Zn3Fe4
1.0
-1.406 2.058 -1.467
-0.966 -1.989 -1.863
-6.859 -1.466 7.365
Fe Zn
4 3
Direct
0.134 0.134 0.267
0.425 0.425 0.850
0.575 0.575 0.150
0.866 0.866 0.733
0.000 0.000 0.000
0.291 0.291 0.582
0.709 0.709 0.418
```

DOS at the Fermi energy	0.62	states/eV per atom
symmetry	I4/mmm, No. 139

---

5.
Density functional theory data (meta-GGA SCAN) for ReRuRh2 at its PBEsol-relaxed geometry.

```
ReRuRh2
1.0
-0.149 -0.112 -2.660
4.203 -2.049 -0.150
-3.394 -3.204 0.325
Re Rh Ru
1 2 1
Direct
0.500 0.500 0.500
0.000 0.500 0.000
0.000 0.000 0.500
0.500 0.000 0.000
```

DOS at the Fermi energy	0.90	states/eV per atom
symmetry	Cmmm, No. 65

---

6.
Density functional theory data (meta-GGA SCAN) for Sr3PO at its PBEsol-relaxed geometry.

```
Sr3PO
1.0
-0.505 -4.298 -2.331
3.898 1.061 -2.801
2.953 -2.136 3.299
Sr O P
3 1 1
Direct
0.000 0.500 0.000
0.000 0.000 0.500
0.500 0.000 0.000
0.000 0.000 0.000
0.500 0.500 0.500
```

DOS at the Fermi energy	0.42	states/eV per atom
symmetry	Pm-3m, No. 221

---

7.
Density functional theory data (meta-GGA SCAN) for La2CuAs at its PBEsol-relaxed geometry.

```
La2CuAs
1.0
-2.073 1.736 4.225
-0.094 -2.872 4.112
2.900 1.149 3.929
As Cu La
1 1 2
Direct
0.500 0.500 0.500
0.250 0.250 0.250
0.000 0.000 0.000
0.750 0.750 0.750
```

DOS at the Fermi energy	1.06	states/eV per atom
symmetry	F-43m, No. 216

---

8.
Density functional theory data (meta-GGA SCAN) for TcMoHO2 at its PBEsol-relaxed geometry.

```
TcMoHO2
1.0
3.561 0.000 0.000
0.000 3.891 0.000
0.000 0.000 3.891
H Mo Tc O
1 1 1 2
Direct
0.500 0.000 0.000
0.000 0.000 0.000
0.500 0.500 0.500
0.000 0.000 0.500
0.000 0.500 0.000
```

DOS at the Fermi energy	0.55	states/eV per atom
symmetry	P4/mmm, No. 123

---

| no. | total DFT energy (no corrections) (eV/atom) |
| --- | --- |
| 1 | -7.245 |
| 2 | -25.311 |
| 3 | -69.394 |
| 4 | -16.132 |
| 5 | -43.375 |
| 6 | -18.251 |
| 7 | -30.476 |
| 8 | -17.425 |